# 1
GaPOs2 | PBE-GGA | optimized geometry

Summary:
ΔH_f (0 K): 0.681 eV/atom
total DFT energy (no corrections): -7.04 eV per atom

Lattice parameters (Å, degrees): 5.578 5.578 6.405 64.18 64.18 90.00
Sites, in units of the cell vectors:
1 P 0.500 0.500 0.000
2 P 0.250 0.750 0.500
3 Os 0.592 0.125 0.250
4 Os 0.158 0.625 0.250
5 Os 0.375 0.408 0.750
6 Os 0.875 0.842 0.750
7 Ga 0.000 0.000 0.000
8 Ga 0.750 0.250 0.500

---

# 2
TmHfMg2Pd4 | PBE-GGA | optimized geometry

Summary:
ΔH_f (0 K): -0.781 eV/atom
total DFT energy (no corrections): -5.58 eV per atom

Lattice parameters (Å, degrees): 4.642 4.642 8.182 73.52 73.52 60.00
Sites, in units of the cell vectors:
1 Tm 0.000 0.000 0.000
2 Hf 0.500 0.500 0.500
3 Mg 0.751 0.751 0.747
4 Mg 0.249 0.249 0.253
5 Pd 0.381 0.381 0.858
6 Pd 0.871 0.871 0.386
7 Pd 0.129 0.129 0.614
8 Pd 0.619 0.619 0.142

---

# 3
Zr2ReBP | PBE-GGA | optimized geometry

Summary:
ΔH_f (0 K): 1.099 eV/atom
total DFT energy (no corrections): -7.23 eV per atom

Lattice parameters (Å, degrees): 5.099 4.380 5.099 90.00 90.00 90.00
Sites, in units of the cell vectors:
1 Re 0.000 0.000 0.000
2 B 0.500 0.500 0.500
3 Zr 0.000 0.000 0.500
4 Zr 0.500 0.000 0.000
5 P 0.000 0.500 0.000